# PBE Pm5Tm2, relaxed
data_Pm5Tm2
_cell_length_a 15.956
_cell_length_b 6.331
_cell_length_c 9.327
_cell_angle_alpha 90.00
_cell_angle_beta 95.23
_cell_angle_gamma 90.00
_symmetry_space_group_name_H-M 'C 1 2/c 1'
_symmetry_Int_Tables_number 15
loop_
_symmetry_equiv_pos_as_xyz
'x,y,z'
'-x,-y,-z'
'-x,y,-z+1/2'
'x,-y,z+1/2'
'x+1/2,y+1/2,z'
'-x+1/2,-y+1/2,-z'
'-x+1/2,y+1/2,-z+1/2'
'x+1/2,-y+1/2,z+1/2'
loop_
_atom_site_label
_atom_site_type_symbol
_atom_site_fract_x
_atom_site_fract_y
_atom_site_fract_z
_atom_site_occupancy
Pm1 Pm 0.000 0.168 0.250 1
Pm2 Pm 0.140 0.169 0.964 1
Pm3 Pm 0.215 0.335 0.322 1
Tm1 Tm 0.070 0.336 0.607 1
# Magnetization: 0.00 μB/f.u.
# E_form: 23 meV per atom
# Offset from the most stable computed form: 0.0 meV/atom
# Fermi-level density of states: 48.121 states/eV per cell